This record from Alexandria describes a relaxed structure of AcTm2Th. The functional is PBE.

Geometry as extended XYZ:
```
4
Lattice="0.000 4.078 4.078 4.078 0.000 4.078 4.078 4.078 0.000" Properties=species:S:1:pos:R:3 pbc="T T T"
Ac 0.000 0.000 0.000
Tm 2.039 2.039 2.039
Tm 6.117 6.117 6.117
Th 4.078 4.078 4.078
```

volume: 135.66 Å³/cell
M_tot: 0.000 μB/atom
ΔH_f (0 K): 0.12 eV/atom
total energy: -20.0 eV per cell
ΔE to the lowest computed polymorph: 82 meV/atom
SG: Fm-3m, No. 225